Computed, not measured: an optimized crystal structure of Tb4OsPd at the GGA-PBE level of DFT.

Results
Theoretical density, Mg/m³: 9.915
Fermi-level density of states, states/eV/f.u.: 5.21

Cell and atoms, written as CIF:
```
data_Tb4OsPd
_chemical_formula_sum 'Tb16 Os4 Pd4'
_symmetry_space_group_name_H-M 'C 1 2/c 1'
_symmetry_Int_Tables_number 15
_symmetry_space_group_name_Hall '-C 2yc'
_cell_length_a 8.269
_cell_length_b 12.443
_cell_length_c 6.268
_cell_angle_alpha 90.00
_cell_angle_beta 104.41
_cell_angle_gamma 90.00
loop_
_atom_site_label
_atom_site_type_symbol
_atom_site_fract_x
_atom_site_fract_y
_atom_site_fract_z
Tb1 Tb 0.102 0.175 0.035
Tb2 Tb 0.200 0.428 0.429
Os1 Os 0.000 0.001 0.250
Pd1 Pd 0.000 0.372 0.750
```


Computed, not measured: an optimized crystal structure of Tb2OsPd at the GGA-PBE level of DFT.

Results
Theoretical density, Mg/m³: 12.198
Fermi-level density of states, states/eV/f.u.: 2.18

Cell and atoms, written as CIF:
```
data_Tb2OsPd
_chemical_formula_sum 'Tb2 Os1 Pd1'
_symmetry_space_group_name_H-M 'P 4/m m m'
_symmetry_Int_Tables_number 123
_symmetry_space_group_name_Hall '-P 4 2'
_cell_length_a 3.441
_cell_length_b 3.441
_cell_length_c 7.064
_cell_angle_alpha 90.00
_cell_angle_beta 90.00
_cell_angle_gamma 90.00
loop_
_atom_site_label
_atom_site_type_symbol
_atom_site_fract_x
_atom_site_fract_y
_atom_site_fract_z
Tb1 Tb 0.000 0.000 0.238
Os1 Os 0.500 0.500 0.000
Pd1 Pd 0.500 0.500 0.500
```


In order of appearance, energy relative to the elements = -0.432; -0.541 eV per atom.
In order of appearance, magnetic moment = 0.000; 0.000 μB per formula unit.